No. 1
KRb2Hg2H6, optimized geometry, DFT PBE; electronic total energy = -24.135 eV per cell
1.0
6.0629 0.0000 0.0000
-3.0315 5.6182 -0.0587
0.0000 -3.2975 6.7914
K Rb Hg H
1 2 2 6
Direct
0.5000 0.0000 0.5000 K
0.6968 0.3936 0.1855 Rb
0.3032 0.6064 0.8145 Rb
0.9659 0.9319 0.7265 Hg
0.0341 0.0681 0.2735 Hg
0.7900 0.5800 0.6300 H
0.1927 0.8862 0.1800 H
0.3065 0.1138 0.8200 H
0.8073 0.1138 0.8200 H
0.6935 0.8862 0.1800 H
0.2100 0.4200 0.3700 H


No. 2
Ca3InAg, optimized geometry, DFT PBE; energy above the lowest structure with this stoichiometry = 0 meV/atom
1.0
-3.2394 4.2737 -0.7094
-0.4114 -1.1842 -5.2558
-9.8339 -3.7621 1.6173
Ca In Ag
6 2 2
Direct
0.7545 0.2500 0.1394 Ca
0.3958 0.2500 0.8568 Ca
0.5750 0.2500 0.4984 Ca
0.2526 0.7500 0.1432 Ca
0.8939 0.7500 0.8606 Ca
0.0734 0.7500 0.5016 Ca
0.6680 0.7500 0.3124 In
0.9804 0.2500 0.6876 In
0.4820 0.7500 0.6844 Ag
0.1664 0.2500 0.3156 Ag